Entry from the Open Quantum Materials Database: a geometry-optimized Hf2As2Os3 structure (PBE-GGA).

Volume in Å³/f.u.: 120.0
Magnetic moment in μB per atom: 0.001
Space-group type: R3m (160)

Cell: 7.6179 7.6179 7.6179 Å, 33.51 33.51 33.51°
Fractional coordinates of all 7 atoms:
Hf1 0.0000 0.0000 0.0000
Hf2 0.4883 0.4883 0.4883
As1 0.2360 0.2360 0.2360
As2 0.7491 0.7491 0.7491
Os1 0.3652 0.3652 0.3652
Os2 0.6155 0.6155 0.6155
Os3 0.8716 0.8716 0.8716


Entry from the Open Quantum Materials Database: a geometry-optimized Hf2AsOs structure (PBE-GGA).

Volume in Å³/f.u.: 70.7
Magnetic moment in μB per atom: 0.328
Space-group type: F-43m (216)

Cell: 4.6419 4.6419 4.6419 Å, 60.00 60.00 60.00°
Fractional coordinates of all 4 atoms:
Hf1 0.0000 0.0000 0.0000
Hf2 0.2500 0.2500 0.2500
As1 0.5000 0.5000 0.5000
Os1 0.7500 0.7500 0.7500


Entry from the Open Quantum Materials Database: a geometry-optimized HfAs2Os structure (PBE-GGA).

Volume in Å³/f.u.: 70.1
Magnetic moment in μB per atom: 0.007
Space-group type: F-43m (216)

Cell: 4.6271 4.6271 4.6271 Å, 60.00 60.00 60.00°
Fractional coordinates of all 4 atoms:
Hf1 0.0000 0.0000 0.0000
As1 0.2500 0.2500 0.2500
As2 0.5000 0.5000 0.5000
Os1 0.7500 0.7500 0.7500


Entry from the Open Quantum Materials Database: a geometry-optimized HfAsOs structure (PBE-GGA).

Volume in Å³/f.u.: 49.8
Magnetic moment in μB per atom: 0.000
Space-group type: P6_3/mmc (194)

Cell: 4.4169 4.4169 5.8935 Å, 90.00 90.00 120.00°
Fractional coordinates of all 6 atoms:
Hf1 0.0000 0.0000 0.0000
Hf2 0.0000 0.0000 0.5000
As1 0.3333 0.6667 0.2500
As2 0.6667 0.3333 0.7500
Os1 0.3333 0.6667 0.7500
Os2 0.6667 0.3333 0.2500


Entry from the Open Quantum Materials Database: a geometry-optimized HfAsOs structure (PBE-GGA).

Volume in Å³/f.u.: 51.6
Magnetic moment in μB per atom: 0.001
Space-group type: P6_3mc (186)

Cell: 4.2748 4.2748 6.5196 Å, 90.00 90.00 120.00°
Fractional coordinates of all 6 atoms:
Hf1 0.0000 0.0000 0.0000
Hf2 0.0000 0.0000 0.5000
As1 0.3333 0.6667 0.2198
As2 0.6667 0.3333 0.7198
Os1 0.3333 0.6667 0.8125
Os2 0.6667 0.3333 0.3125


Entry from the Open Quantum Materials Database: a geometry-optimized Hf3As4P4 structure (PBE-GGA).

Volume in Å³/f.u.: 210.7
Magnetic moment in μB per atom: 0.001
Space-group type: Pm (6)

Cell: 6.9109 3.5336 8.6369 Å, 90.00 92.30 90.00°
Fractional coordinates of all 11 atoms:
Hf1 0.0000 0.0000 0.0000
Hf2 0.2318 0.5000 0.4844
Hf3 0.4937 0.0000 0.9510
As1 0.2744 0.5000 0.1462
As2 0.5641 0.0000 0.4183
As3 0.7577 0.5000 0.8196
As4 0.9115 0.0000 0.5408
P1 0.0571 0.0000 0.3016
P2 0.2273 0.5000 0.8204
P3 0.4171 0.0000 0.6552
P4 0.7408 0.5000 0.0998


Entry from the Open Quantum Materials Database: a geometry-optimized Hf4AsPPd2 structure (PBE-GGA).

Volume in Å³/f.u.: 146.5
Magnetic moment in μB per atom: 0.002
Space-group type: Pm (6)

Cell: 5.3985 3.7359 7.7445 Å, 90.00 110.33 90.00°
Fractional coordinates of all 8 atoms:
Hf1 0.0000 0.0000 0.0000
Hf2 0.0555 0.5000 0.6383
Hf3 0.4991 0.0000 0.4999
Hf4 0.5646 0.5000 0.1624
As1 0.6562 0.5000 0.7762
P1 0.8985 0.0000 0.3750
Pd1 0.1363 0.5000 0.2792
Pd2 0.4068 0.0000 0.8757


Entry from the Open Quantum Materials Database: a geometry-optimized Hf4Sb2AsP structure (PBE-GGA).

Volume in Å³/f.u.: 170.2
Magnetic moment in μB per atom: 0.000
Space-group type: P-3m1 (164)

Cell: 3.8511 3.8511 13.2519 Å, 90.00 90.00 120.00°
Fractional coordinates of all 8 atoms:
Hf1 0.3333 0.6667 0.0996
Hf2 0.3333 0.6667 0.3901
Hf3 0.6667 0.3333 0.6099
Hf4 0.6667 0.3333 0.9004
Sb1 0.3333 0.6667 0.7538
Sb2 0.6667 0.3333 0.2462
As1 0.0000 0.0000 0.5000
P1 0.0000 0.0000 0.0000


Entry from the Open Quantum Materials Database: a geometry-optimized Hf4SbAs2P structure (PBE-GGA).

Volume in Å³/f.u.: 163.5
Magnetic moment in μB per atom: 0.000
Space-group type: P-6m2 (187)

Cell: 3.8055 3.8055 13.0340 Å, 90.00 90.00 120.00°
Fractional coordinates of all 8 atoms:
Hf1 0.0000 0.0000 0.1233
Hf2 0.0000 0.0000 0.8767
Hf3 0.3333 0.6667 0.3517
Hf4 0.3333 0.6667 0.6483
Sb1 0.0000 0.0000 0.5000
As1 0.6667 0.3333 0.2390
As2 0.6667 0.3333 0.7610
P1 0.3333 0.6667 0.0000


Entry from the Open Quantum Materials Database: a geometry-optimized Hf4SbAsP2 structure (PBE-GGA).

Volume in Å³/f.u.: 157.8
Magnetic moment in μB per atom: 0.000
Space-group type: P-6m2 (187)

Cell: 3.7548 3.7548 12.9213 Å, 90.00 90.00 120.00°
Fractional coordinates of all 8 atoms:
Hf1 0.0000 0.0000 0.1340
Hf2 0.0000 0.0000 0.8660
Hf3 0.6667 0.3333 0.3471
Hf4 0.6667 0.3333 0.6529
Sb1 0.0000 0.0000 0.5000
As1 0.6667 0.3333 0.0000
P1 0.3333 0.6667 0.2415
P2 0.3333 0.6667 0.7585


Entry from the Open Quantum Materials Database: a geometry-optimized HfZrAsP structure (PBE-GGA).

Volume in Å³/f.u.: 76.8
Magnetic moment in μB per atom: 0.000
Polymorph energy (0 for the lowest one) in eV/atom: 0.000
Space-group type: P6_3mc (186)

Cell: 3.7384 3.7384 12.6984 Å, 90.00 90.00 120.00°
Fractional coordinates of all 8 atoms:
Hf1 0.3333 0.6667 0.0000
Hf2 0.6667 0.3333 0.5000
Zr1 0.3333 0.6667 0.2769
Zr2 0.6667 0.3333 0.7769
As1 0.3333 0.6667 0.6366
As2 0.6667 0.3333 0.1366
P1 0.0000 0.0000 0.3908
P2 0.0000 0.0000 0.8908


Entry from the Open Quantum Materials Database: a geometry-optimized HfZr3As2P2 structure (PBE-GGA).

Volume in Å³/f.u.: 155.2
Magnetic moment in μB per atom: 0.002
Space-group type: P3m1 (156)

Cell: 3.7486 3.7486 12.7526 Å, 90.00 90.00 120.00°
Fractional coordinates of all 8 atoms:
Hf1 0.0000 0.0000 0.0000
Zr1 0.0000 0.0000 0.2763
Zr2 0.6667 0.3333 0.4995
Zr3 0.6667 0.3333 0.7773
As1 0.0000 0.0000 0.6386
As2 0.6667 0.3333 0.1359
P1 0.3333 0.6667 0.3881
P2 0.3333 0.6667 0.8909


Entry from the Open Quantum Materials Database: a geometry-optimized HfZrAsP structure (PBE-GGA).

Volume in Å³/f.u.: 76.8
Magnetic moment in μB per atom: 0.001
Polymorph energy (0 for the lowest one) in eV/atom: 0.002
Space-group type: P-3m1 (164)

Cell: 3.7377 3.7377 12.7031 Å, 90.00 90.00 120.00°
Fractional coordinates of all 8 atoms:
Hf1 0.3333 0.6667 0.1108
Hf2 0.6667 0.3333 0.8892
Zr1 0.3333 0.6667 0.3878
Zr2 0.6667 0.3333 0.6122
As1 0.3333 0.6667 0.7532
As2 0.6667 0.3333 0.2468
P1 0.0000 0.0000 0.0000
P2 0.0000 0.0000 0.5000


Entry from the Open Quantum Materials Database: a geometry-optimized HfZrAsP structure (PBE-GGA).

Volume in Å³/f.u.: 76.8
Magnetic moment in μB per atom: 0.001
Polymorph energy (0 for the lowest one) in eV/atom: 0.001
Space-group type: P-6m2 (187)

Cell: 3.7381 3.7381 12.6990 Å, 90.00 90.00 120.00°
Fractional coordinates of all 8 atoms:
Hf1 0.0000 0.0000 0.1371
Hf2 0.0000 0.0000 0.8629
Zr1 0.6667 0.3333 0.3601
Zr2 0.6667 0.3333 0.6399
As1 0.0000 0.0000 0.5000
As2 0.6667 0.3333 0.0000
P1 0.3333 0.6667 0.2464
P2 0.3333 0.6667 0.7536


Entry from the Open Quantum Materials Database: a geometry-optimized Hf3ZrAs2P2 structure (PBE-GGA).

Volume in Å³/f.u.: 152.3
Magnetic moment in μB per atom: 0.001
Space-group type: P3m1 (156)

Cell: 3.7280 3.7280 12.6497 Å, 90.00 90.00 120.00°
Fractional coordinates of all 8 atoms:
Hf1 0.0000 0.0000 0.0000
Hf2 0.0000 0.0000 0.2757
Hf3 0.6667 0.3333 0.4980
Zr1 0.6667 0.3333 0.7763
As1 0.0000 0.0000 0.6349
As2 0.6667 0.3333 0.1381
P1 0.3333 0.6667 0.3869
P2 0.3333 0.6667 0.8904


Entry from the Open Quantum Materials Database: a geometry-optimized Hf3As4Pb4 structure (PBE-GGA).

Volume in Å³/f.u.: 272.2
Magnetic moment in μB per atom: 0.000
Space-group type: Pm (6)

Cell: 7.8134 3.6945 9.4997 Å, 90.00 96.96 90.00°
Fractional coordinates of all 11 atoms:
Hf1 0.0000 0.0000 0.0000
Hf2 0.2121 0.5000 0.4741
Hf3 0.4940 0.0000 0.9322
As1 0.1229 0.0000 0.2740
As2 0.2499 0.5000 0.9644
As3 0.3987 0.0000 0.6428
As4 0.7477 0.5000 0.0182
Pb1 0.0447 0.0000 0.6919
Pb2 0.4686 0.5000 0.2386
Pb3 0.7004 0.5000 0.6962
Pb4 0.8050 0.0000 0.3884


Entry from the Open Quantum Materials Database: a geometry-optimized Hf2AsPd structure (PBE-GGA).

Volume in Å³/f.u.: 74.7
Magnetic moment in μB per atom: 0.325
Space-group type: F-43m (216)

Cell: 4.7264 4.7264 4.7264 Å, 60.00 60.00 60.00°
Fractional coordinates of all 4 atoms:
Hf1 0.0000 0.0000 0.0000
Hf2 0.2500 0.2500 0.2500
As1 0.5000 0.5000 0.5000
Pd1 0.7500 0.7500 0.7500


Entry from the Open Quantum Materials Database: a geometry-optimized Hf3As4Pd4 structure (PBE-GGA).

Volume in Å³/f.u.: 223.2
Magnetic moment in μB per atom: 0.000
Polymorph energy (0 for the lowest one) in eV/atom: 0.115
Space-group type: I-42m (121)

Cell: 7.3735 7.3735 7.3735 Å, 131.02 131.02 71.78°
Fractional coordinates of all 11 atoms:
Hf1 0.0000 0.0000 0.0000
Hf2 0.2500 0.7500 0.5000
Hf3 0.7500 0.2500 0.5000
As1 0.0000 0.5000 0.5000
As2 0.2520 0.2520 0.0000
As3 0.5000 0.0000 0.5000
As4 0.7480 0.7480 0.0000
Pd1 0.1250 0.6233 0.0000
Pd2 0.3767 0.3767 0.5018
Pd3 0.6233 0.1250 0.0000
Pd4 0.8750 0.8750 0.4982


Entry from the Open Quantum Materials Database: a geometry-optimized Hf3As4Pd3 structure (PBE-GGA).

Volume in Å³/f.u.: 181.7
Magnetic moment in μB per atom: 0.001
Space-group type: I-43d (220)

Cell: 7.7862 7.7862 7.7862 Å, 109.47 109.47 109.47°
Fractional coordinates of all 20 atoms:
Hf1 0.1250 0.8750 0.2500
Hf2 0.2500 0.1250 0.8750
Hf3 0.3750 0.6250 0.7500
Hf4 0.6250 0.7500 0.3750
Hf5 0.7500 0.3750 0.6250
Hf6 0.8750 0.2500 0.1250
As1 0.0000 0.1857 0.5000
As2 0.0000 0.6857 0.5000
As3 0.1857 0.5000 0.0000
As4 0.3143 0.3143 0.3143
As5 0.5000 0.0000 0.1857
As6 0.5000 0.0000 0.6857
As7 0.6857 0.5000 0.0000
As8 0.8143 0.8143 0.8143
Pd1 0.1250 0.7500 0.8750
Pd2 0.2500 0.6250 0.3750
Pd3 0.3750 0.2500 0.6250
Pd4 0.6250 0.3750 0.2500
Pd5 0.7500 0.8750 0.1250
Pd6 0.8750 0.1250 0.7500


Entry from the Open Quantum Materials Database: a geometry-optimized HfAs2Pd structure (PBE-GGA).

Volume in Å³/f.u.: 72.0
Magnetic moment in μB per atom: 0.000
Space-group type: F-43m (216)

Cell: 4.6706 4.6706 4.6706 Å, 60.00 60.00 60.00°
Fractional coordinates of all 4 atoms:
Hf1 0.0000 0.0000 0.0000
As1 0.2500 0.2500 0.2500
As2 0.5000 0.5000 0.5000
Pd1 0.7500 0.7500 0.7500


E, respectively: -0.339, -0.326, -0.275, -0.327, -0.329, -0.250, -0.308, -0.300, -0.304, -0.313, -0.309, -0.304, -0.309, -0.309, -0.315, -0.221, -0.272, -0.256, -0.261, -0.233 hartree per atom.